Computed, not measured: crystalline RbSmScSe3 at its relaxed geometry at the PBE-GGA level of DFT.

Properties
- total DFT energy (no corrections) (eV per cell) = -64.00

Cell and atoms, written as extended XYZ:
```
12
Lattice="2.189 -7.758 0.000 2.189 7.758 0.000 0.000 0.000 11.281" Properties=species:S:1:pos:R:3 pbc="T T T"
Rb 2.189 4.035 8.461
Rb 2.189 -4.035 2.820
Sm 2.189 0.000 0.000
Sm 2.189 0.000 5.640
Sc 2.189 7.234 2.820
Sc 2.189 -7.234 8.461
Se 2.189 5.833 0.676
Se 2.189 5.833 4.964
Se 2.189 0.929 2.820
Se 2.189 -0.929 8.461
Se 2.189 -5.833 6.317
Se 2.189 -5.833 10.605
```

***

Computed, not measured: crystalline FeIrPbAu at its relaxed geometry at the PBE-GGA level of DFT.

Properties
- energy relative to the lowest polymorph listed for this composition (meV/atom) = 0

Cell and atoms, written as extended XYZ:
```
4
Lattice="0.000 3.260 3.260 3.260 0.000 3.260 3.260 3.260 0.000" Properties=species:S:1:pos:R:3 pbc="T T T"
Fe 0.000 0.000 0.000
Ir 3.260 3.260 3.260
Pb 4.890 4.890 4.890
Au 1.630 1.630 1.630
```

***

Computed, not measured: crystalline Y2ScOs at its relaxed geometry at the PBE-GGA level of DFT.

Properties
- energy of formation (meV/atom) = 83

Cell and atoms, written as extended XYZ:
```
4
Lattice="0.000 3.535 3.535 3.535 0.000 3.535 3.535 3.535 0.000" Properties=species:S:1:pos:R:3 pbc="T T T"
Y 0.000 0.000 0.000
Y 1.767 1.767 1.767
Sc 3.535 3.535 3.535
Os 5.302 5.302 5.302
```

***

Computed, not measured: crystalline Zr4NiSN2 at its relaxed geometry at the PBE-GGA level of DFT.

Properties
- total DFT energy (no corrections) (eV per cell) = -70.44

Cell and atoms, written as extended XYZ:
```
8
Lattice="3.316 0.000 0.000 -1.658 2.871 0.000 0.000 0.000 12.577" Properties=species:S:1:pos:R:3 pbc="T T T"
Zr 0.000 0.000 1.832
Zr 0.000 0.000 10.745
Zr 0.000 1.914 4.386
Zr 0.000 1.914 8.190
Ni 0.000 0.000 6.288
S 0.000 1.914 0.000
N 1.658 0.957 3.126
N 1.658 0.957 9.451
```

***

Computed, not measured: crystalline Co6AgP4 at its relaxed geometry at the PBE-GGA level of DFT.

Properties
- total DFT energy (no corrections) (eV per cell) = -72.43

Cell and atoms, written as extended XYZ:
```
11
Lattice="6.585 0.000 0.000 -3.293 5.703 0.000 0.000 0.000 3.324" Properties=species:S:1:pos:R:3 pbc="T T T"
Co -1.340 3.028 0.000
Co 0.000 1.493 1.662
Co -1.999 4.956 1.662
Co 1.340 3.028 0.000
Co 0.000 5.349 0.000
Co 1.999 4.956 1.662
Ag 3.293 1.901 1.662
P 1.429 0.825 0.000
P 0.000 3.802 1.662
P 5.156 0.825 0.000
P 3.293 4.052 0.000
```

***

Computed, not measured: crystalline Sm2SnPb at its relaxed geometry at the PBE-GGA level of DFT.

Properties
- total DFT energy (no corrections) (eV per cell) = -19.75

Cell and atoms, written as extended XYZ:
```
4
Lattice="4.467 0.000 0.000 0.000 2.252 5.870 0.000 -2.252 5.870" Properties=species:S:1:pos:R:3 pbc="T T T"
Sm 0.000 0.000 0.000
Sm 2.234 0.000 3.190
Sn 2.234 0.000 6.360
Pb 0.000 0.000 8.553
```

***

Computed, not measured: crystalline Dy4BBr3Cl2 at its relaxed geometry at the PBE-GGA level of DFT.

Properties
- total DFT energy (no corrections) (eV per cell) = -48.92

Cell and atoms, written as extended XYZ:
```
10
Lattice="8.885 -1.940 0.000 8.885 1.940 0.000 -1.771 0.000 7.933" Properties=species:S:1:pos:R:3 pbc="T T T"
Dy 17.396 0.000 1.655
Dy -1.397 0.000 6.278
Dy 4.707 0.000 7.322
Dy 11.292 0.000 0.611
B 8.885 0.000 0.000
Br 1.596 0.000 6.582
Br 8.000 0.000 3.966
Br 14.403 0.000 1.351
Cl 2.276 0.000 2.528
Cl 13.723 0.000 5.405
```

***

Computed, not measured: crystalline PmCuGe at its relaxed geometry at the PBE-GGA level of DFT.

Properties
- energy relative to the lowest polymorph listed for this composition (meV/atom) = 781

Cell and atoms, written as extended XYZ:
```
3
Lattice="0.000 3.352 3.352 3.352 0.000 3.352 3.352 3.352 0.000" Properties=species:S:1:pos:R:3 pbc="T T T"
Pm 0.000 0.000 0.000
Cu 5.028 5.028 5.028
Ge 1.676 1.676 1.676
```

***

no.,theoretical density (g/cm3)
1,4.486
2,15.632
3,7.763
4,6.708
5,7.787
6,8.810
7,5.899
8,6.198